# NiSnO3

NiSnO3 after structural relaxation (GGA+U, Alexandria via LeMat-Bulk).

## Properties
Total DFT energy (no corrections)   -24.6 eV per cell
Space group   No. 221
Total magnetic moment   0.99 μB per cell

Lattice parameters (Å, degrees): 3.7518 3.7518 3.7518 90.00 90.00 90.00
Closest atoms and distances in Å follow each position.
Fractional positions:
Ni  0.0000  0.0000  0.0000  6 O 1.88
O  0.0000  0.0000  0.5000  2 Ni 1.88
O  0.5000  0.0000  0.0000  2 Ni 1.88
O  0.0000  0.5000  0.0000  2 Ni 1.88
Sn  0.5000  0.5000  0.5000  12 O 2.65